# 1
Density functional theory data (SCAN) for a PBEsol-optimized structure of GeSb2MoI.

a b c (Å): 5.238 5.238 5.389
angles (deg): 90.00 90.00 90.00
Last column: magnetic moment on the atom in μB.
Fractional positions:
Ge1 0.000 0.000 0.000  0.00
I1 0.000 0.000 0.500  -0.07
Sb1 0.000 0.500 0.000  -0.19
Sb2 0.500 0.000 0.000  -0.19
Mo1 0.500 0.500 0.500  3.95

## Properties
SG: P4/mmm, No. 123
E: -31.81 eV/atom

# 2
Density functional theory data (SCAN) for a PBEsol-optimized structure of K2PtAu.

a b c (Å): 2.739 5.946 6.258
angles (deg): 90.00 90.00 90.00
Last column: magnetic moment on the atom in μB.
Fractional positions:
K1 0.500 0.500 0.375  0.00
K2 0.000 0.000 0.875  0.00
Au1 0.500 0.500 0.875  0.00
Pt1 0.000 0.000 0.375  0.23

## Properties
SG: Pmmm, No. 47
offset from the most stable computed form: 0.000 eV per atom

# 3
Density functional theory data (SCAN) for a PBEsol-optimized structure of TaWBr2.

a b c (Å): 3.141 3.141 9.480
angles (deg): 90.00 90.00 115.56
Fractional positions:
Br1 0.500 0.500 0.702
Br2 0.000 0.000 0.048
W1 0.500 0.500 0.272
Ta1 0.000 0.000 0.478

## Properties
SG: Cmm2, No. 35
E: -43.51 eV/atom

# 4
Density functional theory data (SCAN) for a PBEsol-optimized structure of SrAlIn3.

a b c (Å): 5.306 5.306 5.306
angles (deg): 90.00 90.00 90.00
Fractional positions:
In1 0.000 0.000 0.500
In2 0.000 0.500 0.000
In3 0.500 0.000 0.000
Al1 0.000 0.000 0.000
Sr1 0.500 0.500 0.500

## Properties
SG: Pm-3m, No. 221
offset from the most stable computed form: 0.000 eV per atom